# EuPuZn2

A geometry-optimized EuPuZn2 structure (PBE, Alexandria via LeMat-Bulk).

a b c (Å): 5.2773 5.2773 3.4960
angles (deg): 90.00 90.00 90.00
Sites, in units of the cell vectors:
Eu 0.0000 0.0000 0.0000
Pu 0.5000 0.5000 0.0000
Zn 0.0000 0.5000 0.5000
Zn 0.5000 0.0000 0.5000

Values from the calculation:
E_form in eV/atom: -0.133
Crystal system: tetragonal
Calculated total energy in eV per atom: -6.921